(1)
DFT (PBE-GGA) results for an optimized crystal structure of La2Pm5Sm12.

Structure (POSCAR):
```
La2Pm5Sm12
1.0
7.984 -4.691 0.000
7.984 4.691 0.000
-0.425 0.000 8.843
La Pm Sm
2 5 12
Direct
0.169 0.831 0.000
0.831 0.169 0.000
0.213 0.213 0.035
0.268 0.268 0.432
0.500 0.500 0.500
0.732 0.732 0.568
0.787 0.787 0.965
0.059 0.059 0.345
0.063 0.673 0.321
0.173 0.531 0.757
0.327 0.937 0.679
0.430 0.430 0.124
0.469 0.827 0.243
0.531 0.173 0.757
0.570 0.570 0.876
0.673 0.063 0.321
0.827 0.469 0.243
0.937 0.327 0.679
0.941 0.941 0.655
```

Properties
calculated total energy: -4.621 eV/atom
ΔE_f: 0.128 eV per atom



(2)
DFT (PBE-GGA) results for an optimized crystal structure of ErSnIr2.

Structure (POSCAR):
```
ErSnIr2
1.0
4.414 0.000 0.000
0.000 4.414 0.000
0.000 0.000 3.760
Er Sn Ir
1 1 2
Direct
0.000 0.000 0.000
0.500 0.500 0.000
0.000 0.500 0.500
0.500 0.000 0.500
```

Properties
calculated total energy: -7.157 eV/atom
ΔE_f: -0.586 eV per atom



(3)
DFT (PBE-GGA) results for an optimized crystal structure of NdMn12.

Structure (POSCAR):
```
NdMn12
1.0
-4.178 4.178 2.363
4.178 -4.178 2.363
4.178 4.178 -2.363
Nd Mn
1 12
Direct
0.000 0.000 0.000
0.000 0.000 0.500
0.000 0.367 0.367
0.000 0.500 0.000
0.000 0.633 0.633
0.267 0.500 0.767
0.367 0.000 0.367
0.500 0.000 0.000
0.500 0.267 0.767
0.500 0.500 0.500
0.500 0.733 0.233
0.633 0.000 0.633
0.733 0.500 0.233
```

Properties
calculated total energy: -8.766 eV/atom
ΔE_f: 0.065 eV per atom



(4)
DFT (PBE-GGA) results for an optimized crystal structure of ZnTeSe2.

Structure (POSCAR):
```
ZnTeSe2
1.0
4.160 0.000 0.000
0.000 4.160 0.000
0.000 0.000 5.651
Zn Te Se
1 1 2
Direct
0.000 0.000 0.000
0.000 0.000 0.500
0.500 0.500 0.211
0.500 0.500 0.789
```

Properties
calculated total energy: -2.564 eV/atom
distance to the lowest polymorph of the same formula: 1.63 eV/f.u.
raw formation energy: 0.282 eV/atom



(5)
DFT (PBE-GGA) results for an optimized crystal structure of PrScAgSb.

Structure (POSCAR):
```
PrScAgSb
1.0
0.000 3.682 3.682
3.682 0.000 3.682
3.682 3.682 0.000
Pr Sc Ag Sb
1 1 1 1
Direct
0.000 0.000 0.000
0.500 0.500 0.500
0.750 0.750 0.750
0.250 0.250 0.250
```

Properties
calculated total energy: -5.015 eV/atom
raw formation energy: -0.494 eV/atom



(6)
DFT (PBE-GGA) results for an optimized crystal structure of Na3SrLi3.

Structure (POSCAR):
```
Na3SrLi3
1.0
7.992 0.000 0.000
0.000 7.992 0.000
0.000 0.000 7.992
Na Sr Li
6 2 6
Direct
0.000 0.250 0.500
0.000 0.750 0.500
0.250 0.500 0.000
0.500 0.000 0.250
0.500 0.000 0.750
0.750 0.500 0.000
0.000 0.000 0.000
0.500 0.500 0.500
0.000 0.500 0.250
0.000 0.500 0.750
0.250 0.000 0.500
0.500 0.250 0.000
0.500 0.750 0.000
0.750 0.000 0.500
```

Properties
calculated total energy: -1.335 eV/atom
ΔE_f: 0.291 eV per atom



(7)
DFT (PBE-GGA) results for an optimized crystal structure of Hg3BMo.

Structure (POSCAR):
```
Hg3BMo
1.0
4.643 0.000 0.000
0.000 4.643 0.000
0.000 0.000 4.643
Hg B Mo
3 1 1
Direct
0.000 0.000 0.500
0.000 0.500 0.000
0.500 0.000 0.000
0.000 0.000 0.000
0.500 0.500 0.500
```

Properties
calculated total energy: -2.477 eV/atom
ΔE_f: 1.206 eV per atom
distance to the lowest polymorph of the same formula: 0.00 eV/f.u.



(8)
DFT (PBE-GGA) results for an optimized crystal structure of Ce2Sc2Tl7.

Structure (POSCAR):
```
Ce2Sc2Tl7
1.0
4.020 -5.355 0.000
4.020 5.355 0.000
0.000 0.000 8.103
Ce Sc Tl
2 2 7
Direct
0.190 0.810 0.000
0.810 0.190 0.000
0.310 0.310 0.500
0.690 0.690 0.500
0.000 0.000 0.303
0.000 0.000 0.697
0.000 0.500 0.308
0.000 0.500 0.692
0.500 0.000 0.308
0.500 0.000 0.692
0.500 0.500 0.000
```

Properties
calculated total energy: -3.583 eV/atom
ΔE_f: 0.153 eV per atom